# 1
BeNi2PbI, relaxed, DFT PBE; final energy = -3.394 eV per atom; mass density = 7.71 g/cm³
1.0
-1.1139 0.2202 4.2522
-0.1496 -5.1149 0.2257
4.2559 -0.0751 1.1188
Pb I Be Ni
1 1 1 2
Cartesian
1.4962 -2.4849 2.7983 Pb
-0.0748 -2.5574 0.1128 I
0.0000 0.0000 0.0000 Be
2.1280 -0.0376 0.5594 Ni
-0.5570 0.1101 2.1261 Ni

# 2
BeNiPdI2, relaxed, DFT PBE; final energy = -2.958 eV per atom; mass density = 6.45 g/cm³
1.0
5.2104 0.0000 0.0000
0.0000 4.0582 0.0000
0.0000 0.0000 5.2104
I Ni Pd Be
2 1 1 1
Cartesian
0.0000 0.0000 2.6052 I
2.6052 0.0000 0.0000 I
0.0000 0.0000 0.0000 Ni
2.6052 2.0291 2.6052 Pd
0.0000 2.0291 0.0000 Be

Copy entry 2 word for word.
BeNiPdI2, relaxed, DFT PBE; final energy = -2.958 eV per atom; mass density = 6.45 g/cm³
1.0
5.2104 0.0000 0.0000
0.0000 4.0582 0.0000
0.0000 0.0000 5.2104
I Ni Pd Be
2 1 1 1
Cartesian
0.0000 0.0000 2.6052 I
2.6052 0.0000 0.0000 I
0.0000 0.0000 0.0000 Ni
2.6052 2.0291 2.6052 Pd
0.0000 2.0291 0.0000 Be